Entry 1:
Density functional theory data (PBE) for a relaxed structure of Ga2ClO2.

a b c (Å): 4.0189 4.0189 5.7480
angles (deg): 69.54 69.54 90.00
Last column: nearest neighbours and their distance in Å.
Element x y z (fractional)
Cl1 0.0000 0.0000 0.0000  2 O 2.94, 8 Ga 3.21
O1 0.2940 0.2940 0.4119  4 Ga 2.06
O2 0.7060 0.7060 0.5881  4 Ga 2.06
Ga1 0.7500 0.2500 0.5000  4 O 2.06
Ga2 0.2500 0.7500 0.5000  4 O 2.06

Formation energy (no corrections): -0.92 eV/atom
Excess energy over the best structure of this formula in the dataset: 281 meV/atom
DOS(E_F): 0.2077 states/eV/atom
Space-group type: I4/mmm

Entry 2:
Density functional theory data (PBE) for a relaxed structure of KZnCdSb2.

a b c (Å): 4.4617 4.4617 8.1903
angles (deg): 105.81 105.81 90.00
Last column: nearest neighbours and their distance in Å.
Element x y z (fractional)
Sb1 0.3687 0.3687 0.7374  2 Cd 2.86, 2 Zn 2.86
Sb2 0.6313 0.6313 0.2626  2 Cd 2.86, 2 Zn 2.86
Zn1 0.7500 0.2500 0.5000  4 Sb 2.86, 4 Cd 3.15
Cd1 0.2500 0.7500 0.5000  4 Sb 2.86, 4 Zn 3.15
K1 0.0000 0.0000 0.0000  8 Sb 3.73

Formation energy (no corrections): -0.21 eV/atom
DOS(E_F): 0.4064 states/eV/atom
Space-group type: I-4m2

Entry 3:
Density functional theory data (PBE) for a relaxed structure of LiLaRu2.

a b c (Å): 4.9644 4.9644 4.9644
angles (deg): 130.59 130.59 72.46
Last column: nearest neighbours and their distance in Å.
Element x y z (fractional)
Ru1 0.5000 0.5000 0.0000  4 La 2.88, 4 Li 2.88, 4 Ru 2.93
Ru2 0.0000 0.0000 0.0000  4 Li 2.88, 4 La 2.88, 4 Ru 2.93
La1 0.2500 0.7500 0.5000  8 Ru 2.88, 4 Li 2.93
Li1 0.7500 0.2500 0.5000  8 Ru 2.88, 4 La 2.93

Excess energy over the best structure of this formula in the dataset: 250 meV/atom
Formation energy from the elements: 0.263 eV per atom
DOS(E_F): 1.6056 states/eV/atom
Space-group type: I4/mmm